LaPmIn3 | PBE-GGA | optimized geometry

a b c (Å): 5.9538 5.9538 12.3477
angles (deg): 103.95 103.95 90.00
Last column: nearest neighbours and their distance in Å.
Sites, in units of the cell vectors:
La (0.0000, 0.0000, 0.0000)  4 In 3.22
La (0.2500, 0.7500, 0.5000)  8 In 2.98-3.30
In (0.1289, 0.8771, 0.7542)  3 In 2.96-3.25, 2 La 3.22-3.30
In (0.7530, 0.7530, 0.5059)  2 La 2.98, 2 In 3.25
In (0.1229, 0.8711, 0.2458)  3 In 2.96-3.25, 2 La 3.22-3.30
In (0.1229, 0.3746, 0.2458)  3 In 2.96-3.25, 2 La 3.22-3.30
In (0.6254, 0.8771, 0.7542)  3 In 2.96-3.25, 2 La 3.22-3.30
In (0.2470, 0.2470, 0.4941)  2 La 2.98, 2 In 3.25
Pm (0.8295, 0.3295, 0.6590)  8 In 3.47-3.54, 1 Pm 3.69
Pm (0.6705, 0.1705, 0.3410)  8 In 3.47-3.54, 1 Pm 3.69

Results
The calculation puts the raw total energy at -35.02 eV for the cell shown. The formation energy comes out at 0.386 eV per formula unit.